Here is a relaxed structure of BaGaSiPd3 from the Alexandria database. Energies are from PBE.

extended XYZ file:
```
12
Lattice="3.4536 -6.3397 0.0000 3.4536 6.3397 0.0000 0.0000 0.0000 6.1223" Properties=species:S:1:pos:R:3 pbc="T T T"
Ba 3.4536 3.3608 4.5917
Ba 3.4536 -3.3608 1.5306
Ga 3.4536 0.3426 1.5306
Ga 3.4536 -0.3426 4.5917
Si 3.4536 5.1812 1.5306
Si 3.4536 -5.1812 4.5917
Pd 1.4521 0.0000 0.0000
Pd 1.4521 0.0000 3.0611
Pd 3.4536 2.8392 1.5306
Pd 3.4536 -2.8392 4.5917
Pd 5.4551 0.0000 0.0000
Pd 5.4551 0.0000 3.0611
```

Calculated values
N(E_F) = 0.449 states/eV per atom
uncorrected formation energy = -0.61 eV per atom
total magnetic moment = 0.00 Bohr magnetons per cell
SG = No. 63